# 1
A relaxed Dy5Pa3N8 crystal, computed with GGA-PBE.

POSCAR file:
```
Dy5Pa3N8
1.0
-2.831 5.353 3.450
3.463 2.975 5.266
2.634 6.405 -0.738
N Dy Pa
8 5 3
Direct
0.250 0.250 0.739
0.247 0.247 0.258
0.762 0.250 0.739
0.750 0.238 0.261
0.750 0.750 0.261
0.753 0.753 0.742
0.250 0.762 0.739
0.238 0.750 0.261
0.500 0.500 0.000
0.500 0.000 0.000
0.000 0.000 0.000
0.500 0.500 0.500
0.000 0.500 0.000
0.000 0.000 0.500
0.500 0.000 0.500
0.000 0.500 0.500
```

Results
* energy relative to the elements, uncorrected: -162.7 kJ/mol of atoms
* electronic total energy: -0.333 hartree per atom

---

# 2
A relaxed Dy3YHg4 crystal, computed with GGA-PBE.

POSCAR file:
```
Dy3YHg4
1.0
5.244 0.000 0.000
0.000 7.510 0.000
0.000 0.000 10.487
Y Dy Hg
2 6 8
Direct
0.000 0.500 0.000
0.000 0.500 0.500
0.000 0.000 0.000
0.501 0.500 0.250
0.501 0.000 0.250
0.499 0.500 0.750
0.499 0.000 0.750
0.000 0.000 0.500
0.500 0.249 0.500
0.999 0.249 0.750
0.500 0.249 0.000
0.500 0.751 0.000
0.500 0.751 0.500
0.001 0.751 0.250
0.001 0.249 0.250
0.999 0.751 0.750
```

Results
* formation energy from the elements: -0.4887 eV per atom
* electronic total energy: -0.117 hartree per atom

---

# 3
A relaxed RbBrO2F crystal, computed with GGA-PBE.

POSCAR file:
```
RbBrO2F
1.0
-3.440 -0.516 1.847
-1.122 -2.536 -2.797
2.136 -4.077 2.839
O F Rb Br
2 1 1 1
Direct
0.500 0.000 0.000
0.000 0.500 0.000
0.000 0.000 0.500
0.500 0.500 0.500
0.000 0.000 0.000
```

Results
* energy relative to the elements, uncorrected: -60.7 kJ/mol of atoms
* electronic total energy: -0.129 hartree per atom

---

Question: The highest electronic total energy belongs to which entry?
Answer: Dy3YHg4

---

Question: Which value of electronic total energy does entry 3 give?
Answer: -0.129 hartree per atom

---

Question: Which of these has the highest electronic total energy?
Answer: Dy3YHg4

---

Question: The highest electronic total energy belongs to which entry?
Answer: Dy3YHg4